1.
Density functional theory data (PBE-GGA) for a relaxed LiPrSi2Ir crystal.

The total DFT energy (no corrections) comes out at -60.28 eV/cell. The crystal system is tetragonal. For the formation energy from raw total energies, the calculation gives -748 meV per atom.

Unit cell a=4.1648 b=4.1648 c=10.1078 alpha=90.00 beta=90.00 gamma=90.00
With the nearest neighbours (Å) after each atom.
Space group I-4m2 (No. 119)
Symmetry-distinct sites (fractional):
Li 0.0000 0.0000 0.0000 (multiplicity 2)  4 Si 2.45
Pr 0.0000 0.5000 0.2500 (multiplicity 2)  8 Si 3.20, 4 Li 3.27, 4 Ir 3.27
Si 0.0000 0.5000 0.6272 (multiplicity 4)  2 Li 2.45, 2 Ir 2.45, 1 Si 2.48
Ir 0.0000 0.0000 0.5000 (multiplicity 2)  4 Si 2.45

***

2.
Density functional theory data (PBE-GGA) for a relaxed La2SbSe crystal.

The total DFT energy (no corrections) comes out at -46.56 eV/cell. The crystal system is orthorhombic. For the energy above the most stable polymorph in this dataset, the calculation gives 189 meV/atom. For the formation energy from raw total energies, the calculation gives -1454 meV per atom.

Unit cell a=4.7112 b=4.2220 c=12.5378 alpha=90.00 beta=90.00 gamma=90.00
With the nearest neighbours (Å) after each atom.
Space group Amm2 (No. 38)
Symmetry-distinct sites (fractional):
La 0.0000 0.0000 0.0000 (multiplicity 2)  4 Se 3.16, 1 Sb 3.34
La 0.5000 0.0000 0.2620 (multiplicity 2)  1 Se 2.96, 4 Sb 3.18
Sb 0.0000 0.0000 0.7334 (multiplicity 2)  5 La 3.18-3.34
Se 0.5000 0.0000 0.4984 (multiplicity 2)  5 La 2.96-3.16

***

3.
Density functional theory data (PBE-GGA) for a relaxed NaAlAuI2 crystal.

The total DFT energy (no corrections) comes out at -10.42 eV/cell. The crystal system is tetragonal. For the formation energy from raw total energies, the calculation gives 204 meV per atom.

Unit cell a=5.9135 b=5.9135 c=5.3100 alpha=90.00 beta=90.00 gamma=90.00
With the nearest neighbours (Å) after each atom.
Space group P4/mmm (No. 123)
Symmetry-distinct sites (fractional):
Na 0.0000 0.0000 0.0000 (multiplicity 1)  2 Au 2.65, 4 I 2.96
Al 0.5000 0.5000 0.5000 (multiplicity 1)  8 I 3.97, 4 Au 4.18
Au 0.0000 0.0000 0.5000 (multiplicity 1)  2 Na 2.65
I 0.0000 0.5000 0.0000 (multiplicity 2)  2 Na 2.96

***

4.
Density functional theory data (PBE-GGA) for a relaxed Li2TmTl2 crystal.

The total DFT energy (no corrections) comes out at -28.59 eV/cell. The crystal system is tetragonal. For the energy above the most stable polymorph in this dataset, the calculation gives 0 meV/atom. The formation energy is -0.25 eV per atom.

Unit cell a=3.5673 b=3.5673 c=17.5959 alpha=90.00 beta=90.00 gamma=90.00
With the nearest neighbours (Å) after each atom.
Space group I4/mmm (No. 139)
Symmetry-distinct sites (fractional):
Li 0.0000 0.0000 0.2058 (multiplicity 4)  5 Tl 2.94-3.07, 4 Li 2.96
Tm 0.0000 0.0000 0.0000 (multiplicity 2)  8 Tl 3.28, 4 Tm 3.57, 2 Li 3.62
Tl 0.0000 0.0000 0.3804 (multiplicity 4)  5 Li 2.94-3.07, 4 Tm 3.28

***

5.
Density functional theory data (PBE-GGA) for a relaxed LiTl2Bi2 crystal.

The total DFT energy (no corrections) comes out at -28.05 eV/cell. The crystal system is tetragonal. For the energy above the most stable polymorph in this dataset, the calculation gives 192 meV/atom. The formation energy is 0.08 eV per atom.

Unit cell a=4.5933 b=4.5933 c=16.4807 alpha=90.00 beta=90.00 gamma=90.00
With the nearest neighbours (Å) after each atom.
Space group I4/mmm (No. 139)
Symmetry-distinct sites (fractional):
Li 0.0000 0.0000 0.0000 (multiplicity 2)  8 Tl 3.62
Tl 0.0000 0.0000 0.4023 (multiplicity 4)  1 Tl 3.22, 4 Bi 3.40
Bi 0.0000 0.5000 0.2500 (multiplicity 4)  4 Bi 3.25, 4 Tl 3.40

***

6.
Density functional theory data (PBE-GGA) for a relaxed Cr2AgCl crystal.

The total DFT energy (no corrections) comes out at -42.74 eV/cell. The crystal system is tetragonal. For the energy above the most stable polymorph in this dataset, the calculation gives 473 meV/atom. For the formation energy from raw total energies, the calculation gives 644 meV per atom.

Unit cell a=3.8135 b=3.8135 c=11.0428 alpha=90.00 beta=90.00 gamma=90.00
With the nearest neighbours (Å) after each atom.
Space group I-4m2 (No. 119)
Symmetry-distinct sites (fractional):
Cr 0.0000 0.0000 0.0000 (multiplicity 2)  4 Cl 2.70
Cr 0.0000 0.5000 0.2500 (multiplicity 2)  4 Ag 2.70
Ag 0.0000 0.5000 0.7500 (multiplicity 2)  4 Cr 2.70
Cl 0.0000 0.0000 0.5000 (multiplicity 2)  4 Cr 2.70

***

7.
Density functional theory data (PBE-GGA) for a relaxed Mg5Si6 crystal.

The total DFT energy (no corrections) comes out at -80.07 eV/cell. The crystal system is triclinic. For the energy above the most stable polymorph in this dataset, the calculation gives 18 meV/atom. For the formation energy from raw total energies, the calculation gives 43 meV per atom.

Unit cell a=4.2818 b=6.7661 c=14.3250 alpha=80.59 beta=86.58 gamma=87.43
With the nearest neighbours (Å) after each atom.
Space group P-1 (No. 2)
Symmetry-distinct sites (fractional):
Mg 0.1106 0.2092 0.3911 (multiplicity 2)  7 Si 2.81-3.13, 1 Mg 3.09
Mg 0.1901 0.7753 0.3263 (multiplicity 2)  6 Si 2.79-3.01
Mg 0.1931 0.4507 0.1661 (multiplicity 2)  9 Si 2.82-3.16, 1 Mg 3.13
Mg 0.2324 0.9703 0.0940 (multiplicity 2)  7 Si 2.83-3.14
Mg 0.3170 0.8882 0.7605 (multiplicity 2)  4 Si 2.68-2.81
Si 0.2484 0.7170 0.9504 (multiplicity 2)  3 Si 2.47-2.49
Si 0.2661 0.3481 0.9625 (multiplicity 2)  4 Si 2.39-2.49
Si 0.2738 0.4299 0.5418 (multiplicity 2)  3 Si 2.37-2.45
Si 0.2788 0.2544 0.8088 (multiplicity 2)  2 Si 2.39
Si 0.3715 0.0664 0.5687 (multiplicity 2)  2 Si 2.45-2.48
Si 0.3774 0.5390 0.6902 (multiplicity 2)  2 Si 2.39-2.43

***

8.
Density functional theory data (PBE-GGA) for a relaxed Na2PuPtO6 crystal.

The total DFT energy (no corrections) comes out at -68.87 eV/cell. The crystal system is tetragonal. For the formation energy from raw total energies, the calculation gives -1611 meV per atom.

Unit cell a=5.7006 b=5.7006 c=4.1785 alpha=90.00 beta=90.00 gamma=90.00
With the nearest neighbours (Å) after each atom.
Space group P4mm (No. 99)
Symmetry-distinct sites (fractional):
Na 0.0000 0.5000 0.0000 (multiplicity 2)  12 O 2.85-2.91
Pu 0.0000 0.0000 0.5018 (multiplicity 1)  6 O 2.03-2.09
Pt 0.5000 0.5000 0.5019 (multiplicity 1)  6 O 2.00-2.09
O 0.0000 0.0000 0.0019 (multiplicity 1)  2 Pu 2.09
O 0.2521 0.2521 0.5022 (multiplicity 4)  1 Pt 2.00, 1 Pu 2.03
O 0.5000 0.5000 0.0020 (multiplicity 1)  2 Pt 2.09

***

9.
Density functional theory data (PBE-GGA) for a relaxed La3Mo crystal.

The total DFT energy (no corrections) comes out at -48.19 eV/cell. The crystal system is hexagonal. For the energy above the most stable polymorph in this dataset, the calculation gives 172 meV/atom. The formation energy is 0.38 eV per atom.

Unit cell a=7.8947 b=7.8947 c=4.4931 alpha=90.00 beta=90.00 gamma=120.00
With the nearest neighbours (Å) after each atom.
Space group P6_3/mmc (No. 194)
Symmetry-distinct sites (fractional):
La 0.1903 0.3806 0.2500 (multiplicity 6)  2 Mo 2.98
Mo 0.3333 0.6667 0.7500 (multiplicity 2)  6 La 2.98

***

10.
Density functional theory data (PBE-GGA) for a relaxed RbNaBe2 crystal.

The total DFT energy (no corrections) comes out at -24.76 eV/cell. The crystal system is tetragonal. For the energy above the most stable polymorph in this dataset, the calculation gives 0 meV/atom. The formation energy is 0.89 eV per atom.

Unit cell a=4.6650 b=4.6650 c=20.7563 alpha=90.00 beta=90.00 gamma=90.00
With the nearest neighbours (Å) after each atom.
Space group I4_1/amd (No. 141, origin choice 2)
Symmetry-distinct sites (fractional):
Rb 0.0000 0.2500 0.3750 (multiplicity 4)  4 Na 3.30, 8 Be 3.68
Na 0.0000 0.2500 0.8750 (multiplicity 4)  4 Be 2.84
Be 0.0000 0.0000 0.0000 (multiplicity 8)  2 Be 2.33

***

11.
Density functional theory data (PBE-GGA) for a relaxed YThPa crystal.

The total DFT energy (no corrections) comes out at -175.23 eV/cell. The crystal system is orthorhombic. For the energy above the most stable polymorph in this dataset, the calculation gives 334 meV/atom. The formation energy is 0.49 eV per atom.

Unit cell a=9.1584 b=6.7690 c=11.7994 alpha=90.00 beta=90.00 gamma=90.00
With the nearest neighbours (Å) after each atom.
Space group Amm2 (No. 38)
Symmetry-distinct sites (fractional):
Y 0.0000 0.2318 0.0000 (multiplicity 4)  1 Th 3.04, 3 Y 3.08-3.14
Y 0.2410 0.0000 0.5963 (multiplicity 4)  2 Y 3.08, 4 Th 3.08-3.19
Th 0.0000 0.0000 0.7789 (multiplicity 2)  4 Y 3.04-3.08
Th 0.5000 0.0000 0.4155 (multiplicity 2)  2 Y 3.19, 2 Th 3.20
Th 0.5000 0.2315 0.1792 (multiplicity 4)  2 Th 3.13-3.20, 2 Y 3.14
Pa 0.1520 0.0000 0.2550 (multiplicity 4)  1 Pa 2.78
Pa 0.3520 0.0000 0.9217 (multiplicity 4)  1 Pa 2.71

***

12.
Density functional theory data (PBE-GGA) for a relaxed Pm2Pr5NdSm crystal.

The total DFT energy (no corrections) comes out at -162.18 eV/cell. The crystal system is tetragonal. The formation energy is 0.26 eV per atom.

Unit cell a=8.9534 b=8.9534 c=16.0474 alpha=90.00 beta=90.00 gamma=90.00
With the nearest neighbours (Å) after each atom.
Space group I4/mcm (No. 140)
Symmetry-distinct sites (fractional):
Pm 0.1174 0.3826 0.0000 (multiplicity 8)  1 Pm 2.97, 2 Pr 3.15
Pr 0.0000 0.0000 0.0000 (multiplicity 4)  4 Pm 3.58, 8 Pr 3.91, 2 Nd 4.01
Pr 0.2065 0.2935 0.3614 (multiplicity 16)  1 Pm 3.15, 1 Sm 3.17
Nd 0.0000 0.0000 0.2500 (multiplicity 4)  10 Pr 3.68-4.01
Sm 0.0000 0.5000 0.2500 (multiplicity 4)  4 Pr 3.17

***

no.,total moment (μB/atom)
1,0.000
2,0.000
3,0.000
4,0.029
5,0.000
6,2.325
7,0.000
8,0.166
9,0.000
10,0.000
11,0.000
12,0.000